A relaxed Tb5Sc4Hg4 crystal. Source: the Alexandria database, functional GGA-PBE.

```
Tb5Sc4Hg4
1.0
-2.016 1.571 4.205
6.372 0.058 5.912
0.830 8.653 0.044
Tb Sc Hg
5 4 4
direct
0.689 0.931 0.690
0.311 0.069 0.310
0.000 0.000 0.000
0.620 0.690 0.069
0.380 0.310 0.931
0.903 0.504 0.690
0.593 0.310 0.504
0.097 0.496 0.310
0.407 0.690 0.496
0.752 0.332 0.163
0.248 0.668 0.837
0.916 0.837 0.332
0.084 0.163 0.668
```

space group	No. 87
calculated volume	342	Å³ per cell
calculated formation energy	-31.16	kJ/mol of atoms
electronic total energy	-4.1449	eV/atom
M_tot	0.00	μB per atom